Entry 1:
# MnZnBi3 | Alexandria | PBE-GGA | optimized geometry
# - ΔE_f: 53.2 kJ/mol of atoms
# - Crystal system: cubic
# - Fermi-level density of states: 2.48 states/eV/cell
# - Symmetry: No. 221
# - ΔE to the lowest computed polymorph: 0.00 kJ per mole of atoms
data_MnZnBi3
_chemical_formula_sum 'Mn1 Zn1 Bi3'
_symmetry_space_group_name_H-M 'P 1'
_symmetry_Int_Tables_number 1
_symmetry_space_group_name_Hall 'P 1'
_cell_length_a 5.145
_cell_length_b 5.145
_cell_length_c 5.145
_cell_angle_alpha 90.00
_cell_angle_beta 90.00
_cell_angle_gamma 90.00
loop_
_atom_site_label
_atom_site_type_symbol
_atom_site_fract_x
_atom_site_fract_y
_atom_site_fract_z
_atom_site_occupancy
Zn1 Zn 0.500 0.500 0.500 1
Mn1 Mn 0.000 0.000 0.000 1
Bi1 Bi 0.000 0.500 0.000 1
Bi2 Bi 0.000 0.000 0.500 1
Bi3 Bi 0.500 0.000 0.000 1



Entry 2:
# Pr6YHo4 | Alexandria | PBE-GGA | optimized geometry
# - ΔE_f: 28.7 kJ/mol of atoms
# - Crystal system: tetragonal
# - Fermi-level density of states: 15.38 states/eV/cell
# - Symmetry: No. 121
# - ΔE to the lowest computed polymorph: 1.31 kJ per mole of atoms
data_Pr6YHo4
_chemical_formula_sum 'Pr6 Y1 Ho4'
_symmetry_space_group_name_H-M 'P 1'
_symmetry_Int_Tables_number 1
_symmetry_space_group_name_Hall 'P 1'
_cell_length_a 6.867
_cell_length_b 6.867
_cell_length_c 9.535
_cell_angle_alpha 111.11
_cell_angle_beta 111.11
_cell_angle_gamma 90.00
loop_
_atom_site_label
_atom_site_type_symbol
_atom_site_fract_x
_atom_site_fract_y
_atom_site_fract_z
_atom_site_occupancy
Pr1 Pr 0.872 0.487 0.359 1
Pr2 Pr 0.487 0.872 0.359 1
Pr3 Pr 0.513 0.513 0.641 1
Pr4 Pr 0.000 0.500 0.000 1
Pr5 Pr 0.128 0.128 0.641 1
Pr6 Pr 0.500 0.000 0.000 1
Y1 Y 0.500 0.500 0.000 1
Ho1 Ho 0.062 0.715 0.776 1
Ho2 Ho 0.938 0.938 0.224 1
Ho3 Ho 0.715 0.062 0.776 1
Ho4 Ho 0.285 0.285 0.224 1



Entry 3:
# SrMgSe2N | Alexandria | PBE-GGA | optimized geometry
# - Uncorrected formation energy: -375 meV per atom
# - Crystal system: tetragonal
# - Fermi-level density of states: 3.55 states/eV/cell
# - Symmetry: No. 123
# - ΔE to the lowest computed polymorph: 0.00 kJ per mole of atoms
data_SrMgSe2N
_chemical_formula_sum 'Sr1 Mg1 Se2 N1'
_symmetry_space_group_name_H-M 'P 1'
_symmetry_Int_Tables_number 1
_symmetry_space_group_name_Hall 'P 1'
_cell_length_a 5.277
_cell_length_b 5.277
_cell_length_c 4.198
_cell_angle_alpha 90.00
_cell_angle_beta 90.00
_cell_angle_gamma 90.00
loop_
_atom_site_label
_atom_site_type_symbol
_atom_site_fract_x
_atom_site_fract_y
_atom_site_fract_z
_atom_site_occupancy
Sr1 Sr 0.500 0.500 0.500 1
Mg1 Mg 0.000 0.000 0.000 1
Se1 Se 0.000 0.500 0.000 1
Se2 Se 0.500 0.000 0.000 1
N1 N 0.000 0.000 0.500 1



Entry 4:
# NdY2Ho3 | Alexandria | PBE-GGA | optimized geometry
# - ΔE_f: 2.0 kJ/mol of atoms
# - Crystal system: monoclinic
# - Fermi-level density of states: 17.40 states/eV/cell
# - Symmetry: No. 15
data_NdY2Ho3
_chemical_formula_sum 'Nd2 Y4 Ho6'
_symmetry_space_group_name_H-M 'P 1'
_symmetry_Int_Tables_number 1
_symmetry_space_group_name_Hall 'P 1'
_cell_length_a 7.132
_cell_length_b 6.174
_cell_length_c 9.437
_cell_angle_alpha 89.90
_cell_angle_beta 112.20
_cell_angle_gamma 90.00
loop_
_atom_site_label
_atom_site_type_symbol
_atom_site_fract_x
_atom_site_fract_y
_atom_site_fract_z
_atom_site_occupancy
Nd1 Nd 0.875 0.750 0.000 1
Nd2 Nd 0.125 0.250 0.000 1
Y1 Y 0.792 0.584 0.334 1
Y2 Y 0.542 0.084 0.334 1
Y3 Y 0.458 0.916 0.666 1
Y4 Y 0.208 0.416 0.666 1
Ho1 Ho 0.625 0.250 0.000 1
Ho2 Ho 0.375 0.750 0.000 1
Ho3 Ho 0.042 0.084 0.335 1
Ho4 Ho 0.707 0.416 0.665 1
Ho5 Ho 0.293 0.584 0.335 1
Ho6 Ho 0.958 0.916 0.665 1



Entry 5:
# AsHSe2 | Alexandria | PBE-GGA | optimized geometry
# - Crystal system: cubic
# - Fermi-level density of states: 1.57 states/eV/cell
# - Symmetry: No. 225
# - ΔE to the lowest computed polymorph: 72.12 kJ per mole of atoms
data_AsHSe2
_chemical_formula_sum 'As1 H1 Se2'
_symmetry_space_group_name_H-M 'P 1'
_symmetry_Int_Tables_number 1
_symmetry_space_group_name_Hall 'P 1'
_cell_length_a 4.574
_cell_length_b 4.574
_cell_length_c 4.574
_cell_angle_alpha 60.00
_cell_angle_beta 60.00
_cell_angle_gamma 60.00
loop_
_atom_site_label
_atom_site_type_symbol
_atom_site_fract_x
_atom_site_fract_y
_atom_site_fract_z
_atom_site_occupancy
H1 H 0.000 0.000 0.000 1
As1 As 0.500 0.500 0.500 1
Se1 Se 0.250 0.250 0.250 1
Se2 Se 0.750 0.750 0.750 1